# 1
A relaxed TcOsAu2 crystal. Source: the Alexandria database, functional GGA-PBEsol.

Unit cell a=2.8174 b=3.8162 c=5.7112 alpha=90.00 beta=90.00 gamma=90.00
Closest atoms and distances in Å follow each position.
Element x y z (fractional)
Au 0.5000 0.0000 0.9966  1 Os 2.69, 6 Au 2.79-2.82, 4 Tc 2.84
Au 0.0000 0.5000 0.2527  1 Tc 2.69, 6 Au 2.79-2.82, 4 Os 2.84
Os 0.5000 0.0000 0.5262  4 Tc 2.63, 5 Au 2.69-2.84, 2 Os 2.82
Tc 0.0000 0.5000 0.7244  4 Os 2.63, 5 Au 2.69-2.84, 2 Tc 2.82

Values from the calculation:
Calculated formation energy   1.12 eV per formula unit
Space-group type   Pmm2, No. 25
Offset from the most stable computed form   122 meV per atom



# 2
A relaxed Tc2OsAu crystal. Source: the Alexandria database, functional GGA-PBEsol.

Unit cell a=2.7060 b=2.7060 c=7.9930 alpha=90.00 beta=90.00 gamma=90.00
Closest atoms and distances in Å follow each position.
Element x y z (fractional)
Au 0.5000 0.5000 0.0000  4 Au 2.71, 8 Tc 2.86
Os 0.5000 0.5000 0.5000  8 Tc 2.68, 4 Os 2.71
Tc 0.0000 0.0000 0.7344  4 Os 2.68, 4 Tc 2.71, 4 Au 2.86
Tc 0.0000 0.0000 0.2656  4 Os 2.68, 4 Tc 2.71, 4 Au 2.86

Values from the calculation:
Calculated formation energy   0.74 eV per formula unit
Space-group type   P4/mmm, No. 123
Offset from the most stable computed form   0 meV per atom



# 3
A relaxed TeOs2Au crystal. Source: the Alexandria database, functional GGA-PBEsol.

Unit cell a=2.9889 b=4.8009 c=5.4454 alpha=115.50 beta=104.95 gamma=92.14
Closest atoms and distances in Å follow each position.
Element x y z (fractional)
Au 0.0000 0.5000 0.0000  4 Os 2.75, 4 Te 2.78-2.87, 2 Au 2.99
Os 0.0000 0.0000 0.5000  2 Te 2.75, 2 Au 2.75, 6 Os 2.78-2.99
Os 0.5000 0.5000 0.5000  2 Au 2.75, 2 Te 2.75, 6 Os 2.78-2.99
Te 0.5000 0.0000 0.0000  4 Os 2.75, 4 Au 2.78-2.87, 2 Te 2.99

Values from the calculation:
Space-group type   C2/m, No. 12
ΔE_f (raw)   1001.6 meV per atom



# 4
A relaxed TeOs2Au crystal. Source: the Alexandria database, functional GGA-PBEsol.

Unit cell a=3.5691 b=4.2559 c=4.2559 alpha=90.00 beta=90.00 gamma=90.00
Closest atoms and distances in Å follow each position.
Element x y z (fractional)
Au 0.5000 0.0000 0.0000  8 Os 2.78, 4 Te 3.01
Os 0.0000 0.0000 0.5000  4 Te 2.78, 4 Au 2.78, 4 Os 3.01
Os 0.0000 0.5000 0.0000  4 Te 2.78, 4 Au 2.78, 4 Os 3.01
Te 0.5000 0.5000 0.5000  8 Os 2.78, 4 Au 3.01

Values from the calculation:
Space-group type   P4/mmm, No. 123
ΔE_f (raw)   894.2 meV per atom



# 5
A relaxed TeOsAu2 crystal. Source: the Alexandria database, functional GGA-PBEsol.

Unit cell a=2.9125 b=2.9125 c=10.1445 alpha=81.75 beta=81.75 gamma=60.00
Closest atoms and distances in Å follow each position.
Element x y z (fractional)
Au 0.2402 0.2402 0.2795  3 Os 2.77, 6 Au 2.91
Au 0.7598 0.7598 0.7205  3 Os 2.77, 6 Au 2.91
Os 0.5000 0.5000 0.5000  6 Au 2.77, 6 Os 2.91
Te 0.0000 0.0000 0.0000  6 Te 2.91

Values from the calculation:
Space-group type   R-3m, No. 166
ΔE_f (raw)   707.2 meV per atom



# 6
A relaxed TeOsAu2 crystal. Source: the Alexandria database, functional GGA-PBEsol.

Unit cell a=4.6401 b=4.6401 c=4.6401 alpha=60.00 beta=60.00 gamma=60.00
Closest atoms and distances in Å follow each position.
Element x y z (fractional)
Au 0.0000 0.0000 0.0000  4 Te 2.84, 4 Au 2.84
Au 0.7500 0.7500 0.7500  4 Os 2.84, 4 Au 2.84
Os 0.5000 0.5000 0.5000  4 Te 2.84, 4 Au 2.84
Te 0.2500 0.2500 0.2500  4 Os 2.84, 4 Au 2.84

Values from the calculation:
Space-group type   F-43m, No. 216
ΔE_f (raw)   700.3 meV per atom



# 7
A relaxed TeOs2Au crystal. Source: the Alexandria database, functional GGA-PBEsol.

Unit cell a=2.8226 b=3.6156 c=6.9842 alpha=90.00 beta=90.00 gamma=90.00
Closest atoms and distances in Å follow each position.
Element x y z (fractional)
Au 0.5000 0.5000 0.7905  2 Au 2.82, 5 Os 2.86-2.91
Os 0.0000 0.0000 0.0352  6 Os 2.59-2.82, 4 Au 2.86
Os 0.5000 0.5000 0.2071  6 Os 2.59-2.82
Te 0.0000 0.0000 0.4672  2 Te 2.82, 5 Os 2.93-3.02

Values from the calculation:
Space-group type   Pmm2, No. 25
ΔE_f (raw)   643.9 meV per atom



# 8
A relaxed TiOs2Au crystal. Source: the Alexandria database, functional GGA-PBEsol.

Unit cell a=4.3874 b=4.3874 c=4.3874 alpha=60.00 beta=60.00 gamma=60.00
Closest atoms and distances in Å follow each position.
Element x y z (fractional)
Os 0.2500 0.2500 0.2500  4 Au 2.69, 4 Ti 2.69
Os 0.7500 0.7500 0.7500  4 Au 2.69, 4 Ti 2.69
Au 0.5000 0.5000 0.5000  8 Os 2.69
Ti 0.0000 0.0000 0.0000  8 Os 2.69

Values from the calculation:
Calculated formation energy   0.96 eV per formula unit
Space-group type   Fm-3m, No. 225



# 9
A relaxed TlOs2Au crystal. Source: the Alexandria database, functional GGA-PBEsol.

Unit cell a=2.8281 b=3.9792 c=5.9331 alpha=90.00 beta=90.00 gamma=90.00
Closest atoms and distances in Å follow each position.
Element x y z (fractional)
Au 0.5000 0.5000 0.5000  8 Os 2.76, 2 Au 2.83, 2 Tl 2.97
Os 0.0000 0.0000 0.7171  3 Os 2.58-2.83, 4 Au 2.76
Os 0.0000 0.0000 0.2829  3 Os 2.58-2.83, 4 Au 2.76
Tl 0.5000 0.5000 0.0000  2 Tl 2.83, 8 Os 2.96, 2 Au 2.97

Values from the calculation:
Calculated formation energy   4.21 eV per formula unit
Space-group type   Pmmm, No. 47
Offset from the most stable computed form   123 meV per atom



# 10
A relaxed TlOsAu2 crystal. Source: the Alexandria database, functional GGA-PBEsol.

Unit cell a=3.0276 b=4.9720 c=4.9720 alpha=111.72 beta=90.00 gamma=90.00
Closest atoms and distances in Å follow each position.
Element x y z (fractional)
Au 0.0000 0.5000 0.0000  4 Au 2.79-3.03, 4 Tl 2.91, 4 Os 2.91
Au 0.0000 0.0000 0.5000  4 Au 2.79-3.03, 4 Os 2.91, 4 Tl 2.91
Os 0.5000 0.0000 0.0000  2 Tl 2.79, 8 Au 2.91, 2 Os 3.03
Tl 0.5000 0.5000 0.5000  2 Os 2.79, 8 Au 2.91, 2 Tl 3.03

Values from the calculation:
Calculated formation energy   2.38 eV per formula unit
Space-group type   Cmmm, No. 65
Offset from the most stable computed form   8 meV per atom



# 11
A relaxed TlOs2Au crystal. Source: the Alexandria database, functional GGA-PBEsol.

Unit cell a=4.0484 b=4.0484 c=4.8872 alpha=114.47 beta=114.47 gamma=90.00
Closest atoms and distances in Å follow each position.
Element x y z (fractional)
Au 0.2500 0.7500 0.5000  4 Tl 2.83, 8 Os 2.83-2.86
Os 0.0000 0.0000 0.0000  4 Os 2.83, 4 Au 2.83, 4 Tl 2.86
Os 0.7500 0.2500 0.5000  4 Tl 2.83, 4 Os 2.83, 4 Au 2.86
Tl 0.5000 0.5000 0.0000  8 Os 2.83-2.86, 4 Au 2.83

Values from the calculation:
Calculated formation energy   3.72 eV per formula unit
Space-group type   I-4m2, No. 119
Offset from the most stable computed form   0 meV per atom



# 12
A relaxed TlOs2Au crystal. Source: the Alexandria database, functional GGA-PBEsol.

Unit cell a=2.8380 b=2.8380 c=9.4796 alpha=90.00 beta=90.00 gamma=119.56
Closest atoms and distances in Å follow each position.
Element x y z (fractional)
Au 0.5000 0.5000 0.0000  4 Os 2.73, 6 Au 2.84-2.86
Os 0.0000 0.0000 0.2457  2 Au 2.73, 2 Tl 2.80, 6 Os 2.84-2.86
Os 0.0000 0.0000 0.7543  2 Au 2.73, 2 Tl 2.80, 6 Os 2.84-2.86
Tl 0.5000 0.5000 0.5000  4 Os 2.80, 6 Tl 2.84-2.86

Values from the calculation:
Calculated formation energy   4.19 eV per formula unit
Space-group type   Cmmm, No. 65
Offset from the most stable computed form   118 meV per atom